The following is a DFT calculation (PBE) of Y3Cu2Pd after structural relaxation.

a b c (Å): 3.4831 3.4831 10.5960
angles (deg): 90.00 90.00 90.00
Fractional coordinates of all 6 atoms:
1 Y 0.0000 0.0000 0.0000
2 Y 0.0000 0.0000 0.6679
3 Y 0.0000 0.0000 0.3321
4 Cu 0.5000 0.5000 0.8350
5 Cu 0.5000 0.5000 0.1650
6 Pd 0.5000 0.5000 0.5000

## Properties
crystal system = tetragonal
calculated formation energy = -452 meV per atom
total magnetic moment = 0.00 μB per atom
space group = P4/mmm (123)
calculated volume = 129 Å³ per cell
final energy = -5.91 eV per atom